No. 1
PBE Zr2Cu2Si3, optimized geometry; SG = R3m (160); E = -6.099 eV/atom
1.0
6.143 5.084 4.130
7.681 1.492 4.406
8.158 3.580 1.126
Cu Si Zr
2 3 2
Direct
0.006 0.006 0.006
0.502 0.502 0.502
0.362 0.362 0.362
0.645 0.645 0.645
0.856 0.856 0.856
0.249 0.249 0.249
0.756 0.756 0.756



No. 2
PBE DyIn2, optimized geometry; SG = Fd-3m (227); E = -3.691 eV/atom
1.0
-3.998 -4.008 1.907
-5.634 1.676 1.066
-4.389 -1.800 -3.630
Dy In
2 4
Direct
0.000 0.000 0.000
0.250 0.250 0.250
0.625 0.625 0.125
0.625 0.125 0.625
0.125 0.625 0.625
0.625 0.625 0.625



No. 3
PBE MgNbCuBi, optimized geometry; SG = F-43m (216); E above lowest polymorph = 7.78 kJ per mole of atoms
1.0
1.415 0.628 4.604
1.285 4.416 1.565
-2.855 2.399 3.113
Bi Cu Mg Nb
1 1 1 1
Direct
0.000 0.000 0.000
0.750 0.750 0.750
0.250 0.250 0.250
0.500 0.500 0.500



No. 4
PBE SrSmAg2P2, optimized geometry; SG = P3m1 (156); E = -4.545 eV/atom
1.0
-4.041 1.553 -0.344
0.989 -2.795 3.174
1.995 6.279 4.907
Ag P Sm Sr
2 2 1 1
Direct
0.333 0.667 0.021
0.667 0.333 0.481
0.667 0.333 0.011
0.333 0.667 0.485
0.000 0.000 0.250
0.000 0.000 0.751



No. 5
PBE Er3Tm3Bi2Os, optimized geometry; SG = P-62m (189); E above lowest polymorph = 0.00 kJ per mole of atoms
1.0
-0.680 8.058 -1.381
-4.524 -5.300 -4.330
-3.056 0.239 2.900
Bi Er Os Tm
2 3 1 3
Direct
0.667 0.333 0.500
0.333 0.667 0.500
0.617 0.000 0.000
0.383 0.383 0.000
0.000 0.617 0.000
0.000 0.000 0.000
0.233 0.000 0.500
0.000 0.233 0.500
0.767 0.767 0.500



No. 6
PBE CoSi2Pb, optimized geometry; SG = F-43m (216); E = -4.707 eV/atom
1.0
0.000 3.237 3.237
3.237 0.000 3.237
3.237 3.237 0.000
Co Pb Si
1 1 2
Direct
0.250 0.250 0.250
0.500 0.500 0.500
0.000 0.000 0.000
0.750 0.750 0.750



No. 7
PBE SmInPO, optimized geometry; SG = Pmc2_1 (26); E above lowest polymorph = 11.77 kJ per mole of atoms
1.0
4.127 0.000 0.000
0.000 7.626 0.000
0.000 0.000 5.849
In O P Sm
2 2 2 2
Direct
0.000 0.621 0.493
0.000 0.379 0.993
0.000 0.317 0.400
0.000 0.683 0.900
0.500 0.821 0.428
0.500 0.179 0.928
0.500 0.191 0.433
0.500 0.809 0.933



No. 8
PBE Ni2W3, optimized geometry; SG = R-3c (167); formation energy from the elements = 38.2 kJ per mole of atoms; E above lowest polymorph = 8.52 kJ per mole of atoms
1.0
2.513 4.227 5.630
-3.894 3.120 -5.567
-0.314 -0.103 5.181
Ni W
4 6
Direct
0.625 0.375 0.124
0.875 0.125 0.376
0.125 0.875 0.624
0.375 0.625 0.876
0.250 0.086 0.250
0.586 0.750 0.250
0.914 0.414 0.250
0.086 0.586 0.750
0.414 0.250 0.750
0.750 0.914 0.750



No. 9
PBE LiTlSiNi, optimized geometry; SG = F-43m (216); E above lowest polymorph = 26.94 kJ per mole of atoms
1.0
1.424 3.120 2.976
-2.867 1.642 3.114
0.522 -1.105 4.373
Li Ni Si Tl
1 1 1 1
Direct
0.750 0.750 0.750
0.500 0.500 0.500
0.000 0.000 0.000
0.250 0.250 0.250



No. 10
PBE Zn2BH2BrO4, optimized geometry; SG = P2_12_12_1 (19); E = -5.237 eV/atom
1.0
4.977 0.000 0.000
0.000 8.361 0.000
0.000 0.000 12.926
B Br H O Zn
4 4 8 16 8
Direct
0.490 0.499 0.033
0.510 0.999 0.467
0.010 0.501 0.533
0.990 0.001 0.967
0.495 0.967 0.215
0.505 0.467 0.285
0.005 0.033 0.715
0.995 0.533 0.785
0.159 0.140 0.214
0.840 0.141 0.215
0.160 0.641 0.285
0.841 0.640 0.286
0.341 0.860 0.714
0.660 0.859 0.715
0.340 0.359 0.785
0.659 0.360 0.786
0.634 0.640 0.024
0.622 0.354 0.028
0.214 0.505 0.042
0.000 0.211 0.207
0.000 0.711 0.293
0.786 0.005 0.458
0.378 0.854 0.472
0.366 0.140 0.476
0.866 0.360 0.524
0.878 0.646 0.528
0.286 0.495 0.542
0.500 0.789 0.707
0.500 0.289 0.793
0.714 0.995 0.958
0.122 0.146 0.972
0.134 0.860 0.976
0.486 0.853 0.046
0.996 0.317 0.067
0.004 0.817 0.433
0.514 0.353 0.454
0.014 0.147 0.546
0.504 0.683 0.567
0.496 0.183 0.933
0.986 0.647 0.954



No. 11
PBE TbGdP2Os2O2, optimized geometry; SG = P4mm (99); E = -8.440 eV/atom
1.0
3.998 0.000 0.000
0.000 3.998 0.000
0.000 0.000 7.965
Gd O Os P Tb
1 2 2 2 1
Direct
0.500 0.500 0.137
0.500 0.000 0.999
0.000 0.500 0.999
0.500 0.000 0.500
0.000 0.500 0.500
0.000 0.000 0.346
0.500 0.500 0.655
0.000 0.000 0.864



No. 12
PBE Sm2Ho2O5, optimized geometry; SG = P4/mmm (123); E above lowest polymorph = 0.00 kJ per mole of atoms
1.0
-1.174 -9.238 3.638
3.007 0.554 2.377
-2.398 1.373 2.714
Ho O Sm
2 5 2
Direct
0.000 0.000 0.000
0.500 0.000 0.000
0.136 0.500 0.000
0.864 0.500 0.000
0.136 0.000 0.500
0.864 0.000 0.500
0.500 0.500 0.500
0.240 0.500 0.500
0.760 0.500 0.500



No. 13
PBE LaOsO4, optimized geometry; SG = I4_1/a (88); E = -7.858 eV/atom
1.0
-2.697 2.697 5.739
2.697 -2.697 5.739
2.697 2.697 -5.739
La O Os
2 8 2
Direct
0.500 0.500 0.000
0.250 0.750 0.500
0.168 0.751 0.079
0.501 0.921 0.083
0.249 0.329 0.417
0.582 0.499 0.421
0.079 0.162 0.579
0.912 0.832 0.583
0.838 0.418 0.917
0.671 0.088 0.921
0.000 0.000 0.000
0.750 0.250 0.500



No. 14
PBE DyHo3Pd4, optimized geometry; SG = Pm (6); formation energy from the elements = -90.3 kJ per mole of atoms
1.0
5.642 0.000 0.000
0.000 4.483 0.000
-0.012 0.000 6.879
Dy Ho Pd
1 3 4
Direct
0.643 0.000 0.682
0.858 0.000 0.182
0.357 0.500 0.318
0.142 0.500 0.818
0.343 0.000 0.042
0.845 0.500 0.457
0.156 0.000 0.541
0.656 0.500 0.961



No. 15
PBE Cu7Ag3, optimized geometry; SG = C2/m (12); formation energy from the elements = 9.3 kJ per mole of atoms; E above lowest polymorph = 4.97 kJ per mole of atoms
1.0
5.767 -1.366 0.000
5.767 1.366 0.000
-1.900 0.000 8.758
Ag Cu
3 7
Direct
0.700 0.700 0.108
0.500 0.500 0.500
0.300 0.300 0.892
0.000 0.000 0.000
0.409 0.409 0.201
0.100 0.100 0.303
0.794 0.794 0.404
0.206 0.206 0.596
0.900 0.900 0.697
0.591 0.591 0.799



No. 16
PBE BePdAu, optimized geometry; SG = P4/nmm (129); E above lowest polymorph = 2.24 kJ per mole of atoms
1.0
2.852 0.000 0.000
0.000 2.852 0.000
0.000 0.000 9.996
Au Be Pd
2 2 2
Direct
0.000 0.500 0.387
0.500 0.000 0.613
0.500 0.000 0.229
0.000 0.500 0.771
0.000 0.500 0.103
0.500 0.000 0.897



No. 17
PBE TbDy, optimized geometry; SG = P-6m2 (187); formation energy from the elements = 1.1 kJ per mole of atoms; E above lowest polymorph = 0.00 kJ per mole of atoms
1.0
3.604 0.000 0.000
-1.802 3.121 0.000
0.000 0.000 5.681
Dy Tb
1 1
Direct
0.667 0.333 0.750
0.333 0.667 0.250



No. 18
PBE Be2AgSn, optimized geometry; SG = F-43m (216); E = -2.894 eV/atom
1.0
-3.733 -0.894 2.354
-1.493 2.948 3.058
-3.768 2.339 -0.780
Ag Be Sn
1 2 1
Direct
0.250 0.250 0.250
0.000 0.000 0.000
0.750 0.750 0.750
0.500 0.500 0.500



No. 19
PBE CsYNp, optimized geometry; SG = F-43m (216); E above lowest polymorph = 8.30 kJ per mole of atoms
1.0
0.000 3.853 3.853
3.853 0.000 3.853
3.853 3.853 0.000
Cs Np Y
1 1 1
Direct
0.000 0.000 0.000
0.750 0.750 0.750
0.250 0.250 0.250



No. 20
PBE AlSn2Au, optimized geometry; SG = F-43m (216); E = -3.637 eV/atom
1.0
0.000 3.561 3.561
3.561 0.000 3.561
3.561 3.561 0.000
Al Au Sn
1 1 2
Direct
0.500 0.500 0.500
0.250 0.250 0.250
0.000 0.000 0.000
0.750 0.750 0.750



No. 21
PBE SnOs2O6, optimized geometry; SG = P2_1/c (14); E above lowest polymorph = 32.16 kJ per mole of atoms
1.0
5.032 0.000 0.000
0.000 7.548 0.000
-0.964 0.000 5.585
O Os Sn
12 4 2
Direct
0.298 0.292 0.058
0.155 0.908 0.224
0.658 0.095 0.238
0.342 0.595 0.262
0.845 0.408 0.276
0.702 0.792 0.442
0.298 0.208 0.558
0.155 0.592 0.724
0.658 0.405 0.738
0.342 0.905 0.762
0.845 0.092 0.776
0.702 0.708 0.942
0.493 0.862 0.123
0.507 0.362 0.377
0.493 0.638 0.623
0.507 0.138 0.877
0.000 0.500 0.000
0.000 0.000 0.500



No. 22
PBE NaTl2CuCl6, optimized geometry; SG = P2_1/c (14); E = -2.937 eV/atom
1.0
-1.421 2.795 6.172
-4.346 -5.691 1.576
9.173 -7.577 -2.064
Cl Cu Na Tl
12 2 2 4
Direct
0.770 0.331 0.053
0.876 0.797 0.059
0.336 0.473 0.227
0.664 0.973 0.273
0.124 0.297 0.441
0.230 0.831 0.447
0.770 0.169 0.553
0.876 0.703 0.559
0.336 0.027 0.727
0.664 0.527 0.773
0.124 0.203 0.941
0.230 0.669 0.947
0.000 0.500 0.000
0.000 0.000 0.500
0.500 0.000 0.000
0.500 0.500 0.500
0.215 0.075 0.239
0.785 0.575 0.261
0.215 0.425 0.739
0.785 0.925 0.761



No. 23
PBE BaPPdO, optimized geometry; SG = Pmc2_1 (26); E above lowest polymorph = 28.95 kJ per mole of atoms
1.0
-3.466 -1.948 -1.026
2.541 -2.746 -3.368
1.424 -5.435 5.505
Ba O P Pd
2 2 2 2
Direct
0.500 0.314 0.106
0.500 0.686 0.606
0.500 0.237 0.436
0.500 0.763 0.936
0.000 0.803 0.256
0.000 0.197 0.756
0.000 0.152 0.456
0.000 0.848 0.956